HgMo: optimized geometry, PBE.

Computed properties:
The calculation puts the size of the total moment at 0.00 μB/cell. As for the density of states at the Fermi level: 6.7 states/eV/cell. For the formation energy, the calculation gives 1.028 eV per atom. As for the distance to the lowest polymorph of the same formula: 0.610 eV per atom.

```
data_HgMo
_chemical_formula_sum 'Hg4 Mo4'
_symmetry_space_group_name_H-M 'P 63/m m c'
_symmetry_Int_Tables_number 194
_symmetry_space_group_name_Hall '-P 6c 2c'
_cell_length_a 4.8156
_cell_length_b 4.8156
_cell_length_c 8.0054
_cell_angle_alpha 90.00
_cell_angle_beta 90.00
_cell_angle_gamma 120.00
loop_
_atom_site_label
_atom_site_type_symbol
_atom_site_fract_x
_atom_site_fract_y
_atom_site_fract_z
_atom_site_occupancy
Hg1 Hg 0.0000 0.0000 0.2500 1
Hg2 Hg 0.3333 0.6667 0.2500 1
Mo1 Mo 0.3333 0.6667 0.5999 1
```